{"formula": "LiFe2O2F3", "functional": "PBE with a Hubbard U", "state": "optimized geometry", "lattice": [[1.920, -4.958, 0.000], [1.920, 4.958, 0.000], [0.000, 0.000, 10.185]], "species": ["Li", "Li", "Fe", "Fe", "Fe", "Fe", "O", "O", "O", "O", "F", "F", "F", "F", "F", "F"], "fractional_positions": [[0.192, 0.808, 0.750], [0.808, 0.192, 0.250], [0.152, 0.848, 0.057], [0.152, 0.848, 0.443], [0.848, 0.152, 0.557], [0.848, 0.152, 0.943], [0.312, 0.688, 0.564], [0.312, 0.688, 0.936], [0.688, 0.312, 0.064], [0.688, 0.312, 0.436], [0.042, 0.958, 0.616], [0.042, 0.958, 0.884], [0.232, 0.768, 0.250], [0.768, 0.232, 0.750], [0.958, 0.042, 0.116], [0.958, 0.042, 0.384]], "de_polymorph_ev_per_fu": 0.04, "crystal_system": "orthorhombic", "n_ef_per_ev_cell": 0.000}